! LiNiIr, optimized geometry, DFT PBE; values from VASP
! * ΔE to the lowest computed polymorph: 0.67 eV per formula unit
! * formation energy from the elements: 92 meV/atom
&SYSTEM
  ibrav = 0, nat = 3, ntyp = 3
/
ATOMIC_SPECIES
Ir 192.22 Ir.upf
Li 6.94 Li.upf
Ni 58.69 Ni.upf
ATOMIC_POSITIONS crystal
Ir 0.001 0.001 0.000
Li 0.326 0.326 0.000
Ni 0.672 0.672 0.000
CELL_PARAMETERS angstrom
4.858 0.046 0.000
3.119 3.725 0.000
-3.989 -1.886 2.035